PBE-GGA CaMnOs2, relaxed; calculated volume = 70.43 Å³/cell; formation energy = 0.48 eV per atom
1.0
4.9691 -0.0892 -0.2299
4.1743 2.6973 -0.2299
1.3350 0.3808 5.0455
Ca Mn Os
1 1 2
Cartesian
5.1874 1.4797 2.2323
2.7783 0.7925 0.8550
1.3058 0.3725 4.9208
7.7812 2.2196 3.9160